1.
# Ag3AuSe2

Ag3AuSe2 after structural relaxation (GGA-PBE, the Alexandria database).

For the density of states at the Fermi level, the calculation gives 1.60 states/eV/f.u. The size of the total moment is 0.0 μB per cell. Its total DFT energy (no corrections) is -154.20 eV/cell.

It has space group I4_132 (No. 214), with a = 10.116 Å, b = 10.116 Å, c = 10.116 Å, α = 90.00°, β = 90.00° and γ = 90.00°. Symmetry generates all atoms from Ag at (0.000, 0.250, 0.372), Au at (0.125, 0.125, 0.125) and Se at (0.018, 0.482, 0.518).

---

2.
# CsGa2Ge2

CsGa2Ge2 after structural relaxation (GGA-PBE, the Alexandria database).

For the density of states at the Fermi level, the calculation gives 2.91 states/eV/f.u. The size of the total moment is 0.0 μB per cell. Its total DFT energy (no corrections) is -30.97 eV/cell. As for the formation energy: 0.13 eV per atom.

It has space group P4/mbm (No. 127), with a = 9.083 Å, b = 9.083 Å, c = 3.337 Å, α = 90.00°, β = 90.00° and γ = 90.00°. Symmetry generates all atoms from Cs at (0.000, 0.000, 0.000), Ga at (0.136, 0.364, 0.500) and Ge at (0.111, 0.611, 0.000).

---

3.
# CaYAu6

CaYAu6 after structural relaxation (GGA-PBE, the Alexandria database).

For the density of states at the Fermi level, the calculation gives 3.02 states/eV/f.u. The size of the total moment is 0.0 μB per cell. Its total DFT energy (no corrections) is -65.89 eV/cell. As for the formation energy: -0.60 eV per atom.

It has space group C2/m (No. 12), with a = 9.318 Å, b = 4.461 Å, c = 8.938 Å, α = 90.00°, β = 118.49° and γ = 90.00°. Symmetry generates all atoms from Ca at (0.000, 0.000, 0.000), Y at (0.000, 0.000, 0.500), Au at (0.002, 0.500, 0.749), Au at (0.247, 0.000, 0.872) and Au at (0.250, 0.000, 0.376).

---

4.
# Na2TiPb

Na2TiPb after structural relaxation (GGA-PBE, the Alexandria database).

For the density of states at the Fermi level, the calculation gives 2.47 states/eV/f.u. The size of the total moment is 8.3 μB per cell. Its total DFT energy (no corrections) is -49.00 eV/cell. As for the formation energy: 0.50 eV per atom.

It has space group I-42d (No. 122), with a = 8.702 Å, b = 8.702 Å, c = 5.819 Å, α = 90.00°, β = 90.00° and γ = 90.00°. Symmetry generates all atoms from Na at (0.243, 0.250, 0.125), Ti at (0.000, 0.000, 0.500) and Pb at (0.000, 0.000, 0.000).